(1)
A crystal of NiGeSe3 relaxed with PBEsol. Source: the Alexandria database, functional SCAN.

The structure in CIF format:
```
data_NiGeSe3
_cell_length_a 4.6393
_cell_length_b 4.6393
_cell_length_c 4.6393
_cell_angle_alpha 90.00
_cell_angle_beta 90.00
_cell_angle_gamma 90.00
_space_group_name_H-M_alt 'P m -3 m'
_space_group_IT_number 221
_space_group_name_Hall '-P 4 2 3'
loop_
_atom_site_label
_atom_site_fract_x
_atom_site_fract_y
_atom_site_fract_z
Ni1 0.0000 0.0000 0.0000
Ge1 0.5000 0.5000 0.5000
Se1 0.0000 0.0000 0.5000
```

## Properties
The calculation puts the density of states at the Fermi level at 0.896 states/eV per atom. The calculation puts the magnetic moment at 0.000 μB/atom. Its formation energy from raw total energies is 1.70 eV per formula unit. The crystal system is cubic. As for the mass density: 6.12 g/cm3. The value obtained for the total energy is -18.7593 eV/atom.

***

(2)
A crystal of SiNi6Ge relaxed with PBEsol. Source: the Alexandria database, functional SCAN.

The structure in CIF format:
```
data_SiNi6Ge
_cell_length_a 3.4899
_cell_length_b 3.4899
_cell_length_c 6.9834
_cell_angle_alpha 90.00
_cell_angle_beta 90.00
_cell_angle_gamma 90.00
_space_group_name_H-M_alt 'P 4/m m m'
_space_group_IT_number 123
_space_group_name_Hall '-P 4 2'
loop_
_atom_site_label
_atom_site_fract_x
_atom_site_fract_y
_atom_site_fract_z
Si1 0.0000 0.0000 0.0000
Ni1 0.0000 0.5000 0.2436
Ni2 0.5000 0.5000 0.0000
Ni3 0.5000 0.5000 0.5000
Ge1 0.0000 0.0000 0.5000
```

## Properties
The calculation puts the density of states at the Fermi level at 0.672 states/eV per atom. The calculation puts the magnetic moment at 0.000 μB/atom. Its formation energy from raw total energies is -3.00 eV per formula unit. The crystal system is tetragonal. As for the mass density: 8.84 g/cm3. The value obtained for the total energy is -16.1435 eV/atom.

***

(3)
A crystal of Si3NiGe relaxed with PBEsol. Source: the Alexandria database, functional SCAN.

The structure in CIF format:
```
data_Si3NiGe
_cell_length_a 4.3593
_cell_length_b 4.3593
_cell_length_c 4.3593
_cell_angle_alpha 90.00
_cell_angle_beta 90.00
_cell_angle_gamma 90.00
_space_group_name_H-M_alt 'P m -3 m'
_space_group_IT_number 221
_space_group_name_Hall '-P 4 2 3'
loop_
_atom_site_label
_atom_site_fract_x
_atom_site_fract_y
_atom_site_fract_z
Si1 0.0000 0.0000 0.5000
Ni1 0.0000 0.0000 0.0000
Ge1 0.5000 0.5000 0.5000
```

## Properties
The calculation puts the density of states at the Fermi level at 0.447 states/eV per atom. The calculation puts the magnetic moment at 0.000 μB/atom. Its formation energy from raw total energies is 2.68 eV per formula unit. The crystal system is cubic. As for the mass density: 4.32 g/cm3. The value obtained for the total energy is -12.5255 eV/atom.

***

(4)
A crystal of SrNi3Ge2 relaxed with PBEsol. Source: the Alexandria database, functional SCAN.

The structure in CIF format:
```
data_SrNi3Ge2
_cell_length_a 4.0028
_cell_length_b 4.0028
_cell_length_c 13.9993
_cell_angle_alpha 90.00
_cell_angle_beta 90.00
_cell_angle_gamma 120.00
_space_group_name_H-M_alt 'P 63/m m c'
_space_group_IT_number 194
_space_group_name_Hall '-P 6c 2c'
loop_
_atom_site_label
_atom_site_fract_x
_atom_site_fract_y
_atom_site_fract_z
Sr1 0.0000 0.0000 0.2500
Ni1 0.0000 0.0000 0.0000
Ni2 0.3333 0.6667 0.0728
Ge1 0.3333 0.6667 0.5957
```

## Properties
The calculation puts the density of states at the Fermi level at 0.461 states/eV per atom. As for the energy of formation: -489.1 meV per atom. The calculation puts the magnetic moment at 0.000 μB/atom. The crystal system is hexagonal. As for the mass density: 6.99 g/cm3. The value obtained for the total energy is -18.6509 eV/atom.